# GGA-PBE CaHN, relaxed
# Fermi-level density of states = 0.000 states/eV/atom
# Energy above the most stable polymorph in this dataset = 0.0613 eV/atom
# E = -5.298 eV/atom
data_CaHN
_cell_length_a 6.3171
_cell_length_b 6.4021
_cell_length_c 3.3496
_cell_angle_alpha 90.00
_cell_angle_beta 90.00
_cell_angle_gamma 90.00
_symmetry_space_group_name_H-M 'P n m a'
_symmetry_Int_Tables_number 62
_symmetry_space_group_name_Hall '-P 2ac 2n'
loop_
_atom_site_label
_atom_site_fract_x
_atom_site_fract_y
_atom_site_fract_z
_atom_site_occupancy
Ca1 0.0000 0.0000 0.0000 1
H1 0.2479 0.2500 0.2727 1
N1 0.1691 0.7500 0.5029 1